# 1
# TaCuS2

A relaxed TaCuS2 crystal (GGA-PBEsol, Alexandria).

Lattice parameters (Å, degrees): 3.3265 3.3265 13.1505 90.00 90.00 120.00
Space group P6_3mc (No. 186)
One atom of each set of equivalent atoms:
Ta 0.3333 0.6667 0.0000 (multiplicity 2)
Cu 0.3333 0.6667 0.7824 (multiplicity 2)
S 0.3333 0.6667 0.3785 (multiplicity 2)
S 0.3333 0.6667 0.6169 (multiplicity 2)

total DFT energy (no corrections)	-7.26	eV/atom
energy above the most stable polymorph in this dataset	0.0	meV/atom
formation energy without anion corrections	-0.85	eV/atom
spin magnetization	0.00	Bohr magnetons per cell
N(E_F)	0.27	states/eV/cell


# 2
# Ta2Tl3Cu3S8

A relaxed Ta2Tl3Cu3S8 crystal (GGA-PBEsol, Alexandria).

Lattice parameters (Å, degrees): 19.248 5.476 7.214 90.00 96.17 90.00
Space group C2 (No. 5)
One atom of each set of equivalent atoms:
Ta 0.131 0.000 0.193 (multiplicity 4)
Tl 0.000 0.244 0.500 (multiplicity 2)
Tl 0.185 0.783 0.711 (multiplicity 4)
Cu 0.000 0.003 0.000 (multiplicity 2)
Cu 0.125 0.500 0.179 (multiplicity 4)
S 0.037 0.763 0.255 (multiplicity 4)
S 0.095 0.234 0.935 (multiplicity 4)
S 0.163 0.262 0.434 (multiplicity 4)
S 0.219 0.745 0.130 (multiplicity 4)

total DFT energy (no corrections)	-5.70	eV/atom
formation energy without anion corrections	-0.63	eV/atom
spin magnetization	0.00	Bohr magnetons per cell
N(E_F)	0.00	states/eV/cell